1.
# MoAsPb2 PBE optimized geometry
# Total magnetic moment: 2.88 μB/cell
# N(E_F): 0.88 states/eV/atom
# Calculated volume: 22.733 Å³/atom
# Final energy: -40.27 eV for the cell shown
# DFT formation energy: 0.69 eV per atom
# Crystal system: monoclinic
data_MoAsPb2
_chemical_formula_sum 'Mo2 As2 Pb4'
_space_group_name_H-M_alt 'C 1 2/m 1'
_space_group_IT_number 12
_space_group_name_Hall '-C 2y'
_cell_length_a 6.730
_cell_length_b 8.517
_cell_length_c 3.173
_cell_angle_alpha 90.00
_cell_angle_beta 90.16
_cell_angle_gamma 90.00
loop_
_atom_site_label
_atom_site_type_symbol
_atom_site_fract_x
_atom_site_fract_y
_atom_site_fract_z
Mo1 Mo 0.000 0.000 0.000
As1 As 0.000 0.500 0.000
Pb1 Pb 0.250 0.250 0.500

2.
# CuRh5 PBE optimized geometry
# Total magnetic moment: 0.00 μB/cell
# N(E_F): 1.80 states/eV/atom
# Calculated volume: 13.973 Å³/atom
# Final energy: -80.97 eV for the cell shown
# Offset from the most stable computed form: 20 meV per atom
# DFT formation energy: 0.06 eV per atom
# Crystal system: monoclinic
data_CuRh5
_chemical_formula_sum 'Cu2 Rh10'
_space_group_name_H-M_alt 'C 1 2/m 1'
_space_group_IT_number 12
_space_group_name_Hall '-C 2y'
_cell_length_a 8.549
_cell_length_b 3.817
_cell_length_c 5.422
_cell_angle_alpha 90.00
_cell_angle_beta 108.61
_cell_angle_gamma 90.00
loop_
_atom_site_label
_atom_site_type_symbol
_atom_site_fract_x
_atom_site_fract_y
_atom_site_fract_z
Cu1 Cu 0.000 0.000 0.000
Rh1 Rh 0.000 0.000 0.500
Rh2 Rh 0.167 0.500 0.835
Rh3 Rh 0.168 0.500 0.334

Question: What is the DFT formation energy in the first record?
Answer: 0.69 eV per atom

Question: Number 2 is which compound?
Answer: CuRh5

Question: Among the records above, which one has the lowest calculated volume?
Answer: CuRh5

Question: calculated volume of number 2 (CuRh5)?
Answer: 13.973 Å³/atom